(1)
{
  "formula": "LaPm12Y6",
  "functional": "PBE-GGA",
  "state": "relaxed",
  "cell": [[8.785, -0.206, -1.251], [-1.413, 8.673, -1.251], [-0.179, -0.206, 8.872]],
  "species": ["Pm", "Pm", "Pm", "Pm", "Pm", "Pm", "Pm", "Pm", "Pm", "Pm", "Pm", "Pm", "La", "Y", "Y", "Y", "Y", "Y", "Y"],
  "frac_coords": [[0.757, 0.500, 0.243], [0.243, 0.757, 0.500], [0.757, 0.243, 0.500], [0.500, 0.243, 0.757], [0.079, 0.353, 0.353], [0.647, 0.647, 0.921], [0.353, 0.353, 0.079], [0.647, 0.921, 0.647], [0.921, 0.647, 0.647], [0.243, 0.500, 0.757], [0.500, 0.757, 0.243], [0.353, 0.079, 0.353], [0.000, 0.000, 0.000], [0.339, 0.898, 0.898], [0.661, 0.102, 0.102], [0.102, 0.661, 0.102], [0.898, 0.898, 0.339], [0.102, 0.102, 0.661], [0.898, 0.339, 0.898]],
  "total_magnetization_mub_per_cell": 0.003,
  "final_energy_ev_per_atom": -5.11,
  "space_group": "R-3m"
}

***

(2)
{
  "formula": "La8Pm5Y",
  "functional": "PBE-GGA",
  "state": "relaxed",
  "cell": [[8.729, -0.070, 0.121], [-3.020, 8.191, -0.121], [-2.689, -4.176, 7.180]],
  "species": ["Y", "La", "La", "La", "La", "La", "La", "La", "La", "Pm", "Pm", "Pm", "Pm", "Pm"],
  "frac_coords": [[0.250, 0.500, 0.750], [0.525, 0.601, 0.264], [0.337, 0.266, 0.441], [0.559, 0.896, 0.825], [0.175, 0.734, 0.071], [0.929, 0.104, 0.663], [0.663, 0.399, 0.923], [0.077, 0.739, 0.475], [0.736, 0.261, 0.337], [0.030, 0.309, 0.132], [0.868, 0.898, 0.177], [0.823, 0.691, 0.721], [0.500, 0.000, 0.500], [0.279, 0.102, 0.970]],
  "total_magnetization_mub_per_cell": 0.000,
  "final_energy_ev_per_atom": -4.75,
  "space_group": "I-4"
}

***

(3)
{
  "formula": "La4Pm3Y5",
  "functional": "PBE-GGA",
  "state": "relaxed",
  "cell": [[6.412, -1.490, 3.118], [1.322, 8.746, 1.315], [3.569, -1.924, 8.762]],
  "species": ["Y", "Y", "Y", "Y", "Y", "La", "La", "La", "La", "Pm", "Pm", "Pm"],
  "frac_coords": [[0.333, 0.170, 0.167], [0.746, 0.501, 0.002], [0.254, 0.499, 0.998], [0.500, 0.500, 0.500], [0.667, 0.830, 0.833], [0.170, 0.834, 0.830], [0.830, 0.166, 0.170], [0.082, 0.170, 0.668], [0.918, 0.830, 0.332], [0.583, 0.170, 0.668], [0.417, 0.830, 0.332], [0.000, 0.500, 0.500]],
  "total_magnetization_mub_per_cell": 0.000,
  "final_energy_ev_per_atom": -5.50,
  "space_group": "P-1"
}

***

In g/cm3, the density values for the records above are, in order, 6.0 6.2 5.8.
In eV/atom, the ΔH_f (0 K) values for the records above are, in order, 0.19 0.23 0.02.